i:
## La2SiRu2 (GGA-PBE)

Data for a geometry-optimized La2SiRu2 structure.

Computed properties:
space group = C2/c, No. 15

Cell: 5.949 5.949 7.576 Å, 102.96 102.96 56.45°
Element x y z (fractional)
La (0.006, 0.286, 0.142)
La (0.286, 0.006, 0.642)
La (0.714, 0.994, 0.358)
La (0.994, 0.714, 0.858)
Si (0.413, 0.587, 0.250)
Si (0.587, 0.413, 0.750)
Ru (0.234, 0.512, 0.480)
Ru (0.488, 0.766, 0.020)
Ru (0.512, 0.234, 0.980)
Ru (0.766, 0.488, 0.520)

---

ii:
## La2SiRu2 (GGA-PBE)

Data for a geometry-optimized La2SiRu2 structure.

Computed properties:
space group = P4/mbm, No. 127

Cell: 6.713 6.713 4.644 Å, 90.00 90.00 90.00°
Element x y z (fractional)
La (0.184, 0.316, 0.000)
La (0.316, 0.816, 0.000)
La (0.684, 0.184, 0.000)
La (0.816, 0.684, 0.000)
Si (0.000, 0.000, 0.500)
Si (0.500, 0.500, 0.500)
Ru (0.140, 0.640, 0.500)
Ru (0.360, 0.140, 0.500)
Ru (0.640, 0.860, 0.500)
Ru (0.860, 0.360, 0.500)

---

Least stable structure: ii

---

i:
## LaSm3Ru (GGA-PBE)

Data for a geometry-optimized LaSm3Ru structure.

Computed properties:
space group = C2/m, No. 12

Cell: 7.429 7.429 8.415 Å, 123.93 123.93 71.58°
Element x y z (fractional)
La (0.046, 0.046, 0.333)
La (0.954, 0.954, 0.667)
Sm (0.053, 0.456, 0.211)
Sm (0.450, 0.450, 0.748)
Sm (0.456, 0.053, 0.211)
Sm (0.544, 0.947, 0.789)
Sm (0.550, 0.550, 0.252)
Sm (0.947, 0.544, 0.789)
Ru (0.245, 0.245, 0.885)
Ru (0.755, 0.755, 0.115)

---

ii:
## LaSm3Ru (GGA-PBE)

Data for a geometry-optimized LaSm3Ru structure.

Computed properties:
space group = Pm-3m, No. 221

Cell: 5.517 5.517 5.517 Å, 90.00 90.00 90.00°
Element x y z (fractional)
La (0.000, 0.000, 0.000)
Sm (0.000, 0.500, 0.500)
Sm (0.500, 0.000, 0.500)
Sm (0.500, 0.500, 0.000)
Ru (0.500, 0.500, 0.500)

---

Least stable structure: ii

---

i:
## La2Sn4Ru (GGA-PBE)

Data for a geometry-optimized La2Sn4Ru structure.

Computed properties:
space group = I4/mmm, No. 139

Cell: 9.002 9.002 9.002 Å, 147.69 147.69 46.34°
Element x y z (fractional)
La (0.146, 0.146, 0.000)
La (0.854, 0.854, 0.000)
Sn (0.000, 0.500, 0.500)
Sn (0.335, 0.335, 0.000)
Sn (0.500, 0.000, 0.500)
Sn (0.665, 0.665, 0.000)
Ru (0.500, 0.500, 0.000)

---

ii:
## La2Sn4Ru (GGA-PBE)

Data for a geometry-optimized La2Sn4Ru structure.

Computed properties:
space group = Amm2, No. 38

Cell: 4.662 8.935 8.935 Å, 30.61 90.00 90.00°
Element x y z (fractional)
La (0.000, 0.000, 0.000)
La (0.500, 0.206, 0.206)
Sn (0.000, 0.365, 0.365)
Sn (0.000, 0.646, 0.646)
Sn (0.500, 0.529, 0.529)
Sn (0.500, 0.865, 0.865)
Ru (0.000, 0.796, 0.796)

---

Least stable structure: i

---

i:
## SrLa2SnRu (GGA-PBE)

Data for a geometry-optimized SrLa2SnRu structure.

Computed properties:
space group = P4/mmm, No. 123

Cell: 5.489 5.489 5.455 Å, 90.00 90.00 90.00°
Element x y z (fractional)
Sr (0.000, 0.000, 0.000)
La (0.000, 0.500, 0.500)
La (0.500, 0.000, 0.500)
Sn (0.500, 0.500, 0.000)
Ru (0.500, 0.500, 0.500)

---

ii:
## SrLa2SnRu (GGA-PBE)

Data for a geometry-optimized SrLa2SnRu structure.

Computed properties:
space group = P4/mmm, No. 123

Cell: 5.359 5.359 5.747 Å, 90.00 90.00 90.00°
Element x y z (fractional)
Sr (0.000, 0.000, 0.000)
La (0.000, 0.500, 0.500)
La (0.500, 0.000, 0.500)
Sn (0.500, 0.500, 0.000)
Ru (0.000, 0.000, 0.500)

---

Least stable structure: ii

---

i:
## La2TlSnRu (GGA-PBE)

Data for a geometry-optimized La2TlSnRu structure.

Computed properties:
space group = P4/mmm, No. 123

Cell: 5.438 5.438 5.188 Å, 90.00 90.00 90.00°
Element x y z (fractional)
La (0.000, 0.500, 0.000)
La (0.500, 0.000, 0.000)
Tl (0.000, 0.000, 0.500)
Sn (0.500, 0.500, 0.500)
Ru (0.500, 0.500, 0.000)

---

ii:
## La2TlSnRu (GGA-PBE)

Data for a geometry-optimized La2TlSnRu structure.

Computed properties:
space group = P4/mmm, No. 123

Cell: 5.365 5.365 5.289 Å, 90.00 90.00 90.00°
Element x y z (fractional)
La (0.000, 0.500, 0.000)
La (0.500, 0.000, 0.000)
Tl (0.000, 0.000, 0.500)
Sn (0.500, 0.500, 0.500)
Ru (0.000, 0.000, 0.000)

---

Least stable structure: ii

---

i:
## Sr2LaRu (GGA-PBE)

Data for a geometry-optimized Sr2LaRu structure.

Computed properties:
space group = Cmmm, No. 65

Cell: 8.245 8.245 3.982 Å, 90.00 90.00 143.07°
Element x y z (fractional)
Sr (0.150, 0.850, 0.000)
Sr (0.850, 0.150, 0.000)
La (0.500, 0.500, 0.500)
Ru (0.000, 0.000, 0.500)

---

ii:
## Sr2LaRu (GGA-PBE)

Data for a geometry-optimized Sr2LaRu structure.

Computed properties:
space group = I-42d, No. 122

Cell: 8.530 8.530 8.530 Å, 95.09 95.09 145.33°
Element x y z (fractional)
Sr (0.375, 0.228, 0.353)
Sr (0.772, 0.125, 0.147)
Sr (0.875, 0.022, 0.647)
Sr (0.978, 0.625, 0.853)
La (0.250, 0.750, 0.500)
La (0.500, 0.500, 0.000)
Ru (0.000, 0.000, 0.000)
Ru (0.750, 0.250, 0.500)

---

Least stable structure: ii

---

i:
## Sr2LaRu (GGA-PBE)

Data for a geometry-optimized Sr2LaRu structure.

Computed properties:
space group = R-3m, No. 166

Cell: 11.523 11.523 11.523 Å, 18.62 18.62 18.62°
Element x y z (fractional)
Sr (0.228, 0.228, 0.228)
Sr (0.772, 0.772, 0.772)
La (0.000, 0.000, 0.000)
Ru (0.500, 0.500, 0.500)

---

ii:
## Sr2LaRu (GGA-PBE)

Data for a geometry-optimized Sr2LaRu structure.

Computed properties:
space group = C2/m, No. 12

Cell: 6.421 6.421 3.658 Å, 98.89 98.89 121.31°
Element x y z (fractional)
Sr (0.000, 0.500, 0.000)
Sr (0.500, 0.000, 0.000)
La (0.000, 0.000, 0.500)
Ru (0.500, 0.500, 0.500)

---

Least stable structure: ii